Record 1
## HoTaTe2 (GGA-PBE)

Data for crystalline HoTaTe2 at its relaxed geometry.

```
HoTaTe2
1.0
-2.6030 0.9093 -2.3634
-1.4361 -2.5247 -2.1798
-8.2515 -2.5189 5.3287
Te Ta Ho
2 1 1
Direct
0.1038 0.1038 0.6885 Te
0.8962 0.8962 0.3115 Te
0.5000 0.5000 0.5000 Ta
0.0000 0.0000 0.0000 Ho
```

Calculated values
N(E_F): 0.725 states/eV/atom
Mass density: 8.81 Mg/m³
Uncorrected formation energy: -0.185 eV per atom
SG: R-3m, No. 166



Record 2
## Ho2ThTa (GGA-PBE)

Data for crystalline Ho2ThTa at its relaxed geometry.

```
Ho2ThTa
1.0
-0.6140 -3.2331 -0.1571
0.5079 -1.6385 -2.8128
10.9392 -3.8679 2.2988
Ho Th Ta
2 1 1
Direct
0.9165 0.9165 0.2505 Ho
0.0835 0.0835 0.7495 Ho
0.5000 0.5000 0.5000 Th
0.0000 0.0000 0.0000 Ta
```

Calculated values
N(E_F): 1.278 states/eV/atom
Mass density: 11.24 Mg/m³
Energy relative to the elements: 2.4 eV per formula unit
SG: R-3m, No. 166



Record 3
## HoThTa4 (GGA-PBE)

Data for crystalline HoThTa4 at its relaxed geometry.

```
HoThTa4
1.0
5.7344 0.0000 0.0000
2.8672 4.9661 0.0000
2.8672 1.6554 4.6821
Ta Ho Th
4 1 1
Direct
0.6253 0.6253 0.6253 Ta
0.1242 0.6253 0.6253 Ta
0.6253 0.1242 0.6253 Ta
0.6253 0.6253 0.1242 Ta
0.0000 0.0000 0.0000 Ho
0.2500 0.2500 0.2500 Th
```

Calculated values
N(E_F): 0.510 states/eV/atom
Mass density: 13.96 Mg/m³
Energy relative to the elements: 0.8 eV per formula unit
SG: F-43m, No. 216



Record 4
## HoTaTi2 (GGA-PBE)

Data for crystalline HoTaTi2 at its relaxed geometry.

```
HoTaTi2
1.0
-0.8836 1.4891 3.0154
2.4161 -1.8877 1.6401
4.5818 4.9201 -1.0870
Ho Ti Ta
1 2 1
Direct
0.5000 0.5000 0.5000 Ho
0.0000 0.0000 0.1986 Ti
0.0000 0.0000 0.8014 Ti
0.5000 0.5000 0.0000 Ta
```

Calculated values
N(E_F): 1.645 states/eV/atom
Mass density: 8.91 Mg/m³
Energy relative to the elements: 0.5 eV per formula unit
SG: P4/mmm, No. 123



Record 5
## HoTaTi (GGA-PBE)

Data for crystalline HoTaTi at its relaxed geometry.

```
HoTaTi
1.0
3.5151 0.0000 0.0000
0.0000 3.5151 0.0000
0.0000 0.0000 10.7346
Ti Ho Ta
2 2 2
Direct
0.0000 0.5000 0.5688 Ti
0.5000 0.0000 0.4312 Ti
0.0000 0.5000 0.8675 Ho
0.5000 0.0000 0.1325 Ho
0.5000 0.0000 0.6904 Ta
0.0000 0.5000 0.3096 Ta
```

Calculated values
N(E_F): 1.268 states/eV/atom
Mass density: 9.86 Mg/m³
Energy relative to the elements: 0.5 eV per formula unit
SG: P4/nmm, No. 129



Record 6
## HoTm2Ta (GGA-PBE)

Data for crystalline HoTm2Ta at its relaxed geometry.

```
HoTm2Ta
1.0
-1.6116 -0.2944 -2.7924
0.5637 -2.5337 -1.9350
-8.6357 -6.9200 3.8370
Ho Tm Ta
1 2 1
Direct
0.5000 0.5000 0.5000 Ho
0.0844 0.0844 0.7469 Tm
0.9156 0.9156 0.2531 Tm
0.0000 0.0000 0.0000 Ta
```

Calculated values
N(E_F): 1.326 states/eV/atom
Mass density: 10.82 Mg/m³
Energy relative to the elements: 2.3 eV per formula unit
SG: R-3m, No. 166



Which value of N(E_F) does entry 1 give? 0.725 states/eV/atom